(1)
PrNd7Ho4 | Alexandria | PBE | relaxed; SG = C2/m, No. 12; ΔH_f (0 K) = 0.2016 eV per atom; DOS at the Fermi energy = 1.653 states/eV per atom
1.0
6.0414 0.0000 0.0000
3.0207 9.1215 1.7693
3.0207 1.8352 7.8891
Ho Nd Pr
4 7 1
direct
0.5700 0.3014 0.5586
0.4300 0.6986 0.4414
0.3313 0.3786 0.9588
0.6687 0.6214 0.0412
0.7848 0.2430 0.1873
0.7848 0.8861 0.5443
0.5000 0.0000 0.0000
0.9128 0.4539 0.7204
0.0872 0.5461 0.2796
0.2152 0.1139 0.4557
0.2152 0.7570 0.8127
0.0000 0.0000 0.0000

=====

(2)
La4Pm6Sc | Alexandria | PBE | relaxed; SG = P4/mnc, No. 128; ΔH_f (0 K) = 0.0853 eV per atom; DOS at the Fermi energy = 1.381 states/eV per atom
1.0
8.7706 0.0000 0.0000
0.0000 8.7706 0.0000
0.0000 0.0000 9.7532
Pm Sc La
12 2 8
direct
0.5000 0.5000 0.6706
0.1527 0.3384 0.5000
0.0000 0.0000 0.8294
0.8473 0.6616 0.5000
0.5000 0.5000 0.3294
0.3473 0.8384 0.0000
0.6616 0.1527 0.5000
0.1616 0.3473 0.0000
0.8384 0.6527 0.0000
0.3384 0.8473 0.5000
0.6527 0.1616 0.0000
0.0000 0.0000 0.1706
0.5000 0.5000 0.0000
0.0000 0.0000 0.5000
0.3567 0.1433 0.7500
0.6433 0.8567 0.7500
0.3567 0.1433 0.2500
0.8567 0.3567 0.7500
0.8567 0.3567 0.2500
0.1433 0.6433 0.2500
0.6433 0.8567 0.2500
0.1433 0.6433 0.7500

=====

(3)
LaGdLuPb | Alexandria | PBE | relaxed; SG = F-43m, No. 216; ΔH_f (0 K) = -0.1680 eV per atom; DOS at the Fermi energy = 1.102 states/eV per atom
1.0
5.5806 0.0000 0.0000
2.7903 4.8329 0.0000
2.7903 1.6110 4.5565
Pb Gd Lu La
1 1 1 1
direct
0.2500 0.2500 0.2500
0.0000 0.0000 0.0000
0.7500 0.7500 0.7500
0.5000 0.5000 0.5000

=====

(4)
Mg2Cd5 | Alexandria | PBE | relaxed; SG = Ibam, No. 72; ΔH_f (0 K) = -0.0394 eV per atom; DOS at the Fermi energy = 0.397 states/eV per atom
1.0
5.6572 0.0000 -2.4016
-1.3210 6.5362 -3.1119
0.2580 -0.0570 8.4716
Cd Mg
10 4
direct
0.0175 0.2675 0.5350
0.2500 0.5000 0.0000
0.4825 0.7325 0.4650
0.1206 0.3451 0.2413
0.7500 0.5000 0.0000
0.9825 0.7325 0.4650
0.3794 0.1038 0.7587
0.5175 0.2675 0.5350
0.8794 0.6549 0.7587
0.6206 0.8962 0.2413
0.5916 0.2629 0.1831
0.4084 0.7371 0.8169
0.0916 0.9202 0.1831
0.9084 0.0798 0.8169

=====

(5)
Cu3PbO | Alexandria | PBE | relaxed; SG = Pm-3m, No. 221; DOS at the Fermi energy = 2.120 states/eV per atom; ΔE_f (raw) = 1.44 eV per atom
1.0
-3.2985 -3.3035 -1.6011
1.6048 0.6384 -4.6232
3.3017 -3.6106 0.6476
Cu Pb O
3 1 1
direct
0.0000 0.5000 0.0000
0.5000 0.0000 0.0000
0.0000 0.0000 0.5000
0.0000 0.0000 0.0000
0.5000 0.5000 0.5000

=====

(6)
Ti6GeC3 | Alexandria | PBE | relaxed; SG = P2_1/m, No. 11; ΔH_f (0 K) = -0.6766 eV per atom; DOS at the Fermi energy = 0.615 states/eV per atom
1.0
-2.5756 0.7866 -1.4908
0.4700 -7.5127 -4.7762
-5.3553 -2.6558 7.8512
C Ti Ge
6 12 2
direct
0.7500 0.6364 0.4505
0.2500 0.5211 0.1536
0.7500 0.4789 0.8464
0.2500 0.3636 0.5495
0.2500 0.8478 0.9364
0.7500 0.1522 0.0636
0.2500 0.6161 0.9579
0.7500 0.5217 0.6276
0.7500 0.9207 0.0854
0.7500 0.3839 0.0421
0.7500 0.2012 0.4736
0.2500 0.4783 0.3724
0.2500 0.1961 0.2079
0.7500 0.6800 0.2459
0.2500 0.7988 0.5264
0.2500 0.3200 0.7541
0.2500 0.0793 0.9146
0.7500 0.8039 0.7921
0.7500 0.0514 0.6817
0.2500 0.9486 0.3183

=====

(7)
PrCdGe2Pt2 | Alexandria | PBE | relaxed; SG = P-3m1, No. 164; ΔH_f (0 K) = -0.6749 eV per atom; DOS at the Fermi energy = 0.514 states/eV per atom
1.0
-0.8817 -1.2785 4.0926
4.1492 0.2255 -1.3766
0.3644 6.8631 2.2225
Pr Cd Ge Pt
1 1 2 2
direct
0.0000 0.0000 0.0000
0.0000 0.0000 0.5000
0.3333 0.6667 0.7346
0.6667 0.3333 0.2654
0.6667 0.3333 0.6946
0.3333 0.6667 0.3054

=====

(8)
Co2ReB | Alexandria | PBE | relaxed; SG = Pmmn, No. 59; ΔH_f (0 K) = 0.1100 eV per atom; DOS at the Fermi energy = 1.194 states/eV per atom
1.0
-1.9674 1.0701 2.9527
-2.4342 -3.9253 -0.1994
3.2096 -2.1384 2.9136
B Re Co
2 2 4
direct
0.5000 0.0000 0.7503
0.0000 0.5000 0.2497
0.0000 0.0000 0.3873
0.5000 0.5000 0.6127
0.0000 0.2435 0.8549
0.5000 0.7435 0.1451
0.5000 0.2565 0.1451
0.0000 0.7565 0.8549

=====

(9)
LaPmAs2Pt2 | Alexandria | PBE | relaxed; SG = P-3m1, No. 164; ΔH_f (0 K) = -1.2807 eV per atom; DOS at the Fermi energy = 0.411 states/eV per atom
1.0
4.3595 0.0000 0.0000
-2.1797 3.7754 0.0000
0.0000 0.0000 8.1018
Pt Pm As La
2 1 2 1
direct
0.6667 0.3333 0.2640
0.3333 0.6667 0.7360
0.0000 0.0000 0.5000
0.3333 0.6667 0.2464
0.6667 0.3333 0.7536
0.0000 0.0000 0.0000

=====

(10)
Hf2AgF8 | Alexandria | PBE | relaxed; SG = C2/m, No. 12; DOS at the Fermi energy = 0.008 states/eV per atom; ΔE_f (raw) = -3.19 eV per atom
1.0
4.0913 0.0364 0.0276
0.3325 7.6203 1.6252
0.3325 3.6170 6.9013
F Ag Hf
8 1 2
direct
0.4337 0.3751 0.9718
0.5663 0.0282 0.6249
0.2793 0.4191 0.4191
0.7207 0.5809 0.5809
0.5663 0.6249 0.0282
0.0479 0.7337 0.7337
0.4337 0.9718 0.3751
0.9521 0.2663 0.2663
0.0000 0.0000 0.0000
0.5522 0.7084 0.7084
0.4478 0.2916 0.2916

=====

(11)
Ce3PuSi4 | Alexandria | PBE | relaxed; SG = Immm, No. 71; DOS at the Fermi energy = 1.907 states/eV per atom; ΔE_f (raw) = -0.42 eV per atom
1.0
-2.8081 -0.5439 2.8520
-3.1230 -4.0617 -3.8495
7.0449 -3.5775 3.3938
Ce Si Pu
3 4 1
direct
0.0000 0.5000 0.0000
0.1906 0.1906 0.3813
0.8094 0.8094 0.6187
0.6306 0.8148 0.2612
0.6306 0.4464 0.2612
0.3694 0.5536 0.7388
0.3694 0.1852 0.7388
0.5000 0.0000 0.0000

=====

(12)
CaSiP2 | Alexandria | PBE | relaxed; SG = C2/c, No. 15; ΔE_f (raw) = -0.67 eV per atom
1.0
7.1636 0.0062 0.8954
-0.0260 7.1636 0.8954
0.1283 0.1289 13.4832
P Ca Si
16 8 8
direct
0.9539 0.5635 0.7445
0.2285 0.1452 0.4436
0.6414 0.3130 0.9451
0.5825 0.4175 0.2500
0.7715 0.8548 0.5564
0.3130 0.6414 0.4451
0.0461 0.4365 0.2555
0.4175 0.5825 0.7500
0.8548 0.7715 0.0564
0.3586 0.6870 0.0549
0.9432 0.0568 0.7500
0.1452 0.2285 0.9436
0.4365 0.0461 0.7555
0.5635 0.9539 0.2445
0.0568 0.9432 0.2500
0.6870 0.3586 0.5549
0.2564 0.3398 0.6211
0.1565 0.8195 0.8888
0.3398 0.2564 0.1211
0.8435 0.1805 0.1112
0.8195 0.1565 0.3888
0.7436 0.6602 0.3789
0.1805 0.8435 0.6112
0.6602 0.7436 0.8789
0.2896 0.9157 0.3445
0.7104 0.0843 0.6555
0.5799 0.7058 0.1573
0.7058 0.5799 0.6573
0.9157 0.2896 0.8445
0.0843 0.7104 0.1555
0.4201 0.2942 0.8427
0.2942 0.4201 0.3427